Density functional theory data (PBE) for a geometry-optimized GeP2S8 structure.

abc: 11.843 9.425 5.435
angles: 90.00 102.71 90.00
Space group C2/m (No. 12)
Unique sites:
Ge (0.000, 0.000, 0.000)
P (0.183, 0.000, 0.643)
S (0.088, 0.172, 0.729)
S (0.152, 0.500, 0.205)
S (0.186, 0.000, 0.261)

Summary:
Crystal system: monoclinic
E_form (uncorrected): 0.027 eV/atom

Density functional theory data (PBE) for a geometry-optimized Hf2TiAu2 structure.

abc: 3.788 3.788 14.906
angles: 90.00 90.00 90.00
Space group I4/mmm (No. 139)
Unique sites:
Hf (0.000, 0.000, 0.099)
Ti (0.000, 0.000, 0.500)
Au (0.000, 0.500, 0.250)

Summary:
Crystal system: tetragonal
Polymorph energy (0 for the lowest one): 464.5 meV/atom

Density functional theory data (PBE) for a geometry-optimized P2Au structure.

abc: 2.775 4.538 16.843
angles: 90.00 90.00 90.00
Space group Imma (No. 74)
Unique sites:
P (0.000, 0.250, 0.014)
P (0.000, 0.250, 0.147)
Au (0.000, 0.250, 0.664)

Summary:
Crystal system: orthorhombic
E: -4.45 eV per atom

Density functional theory data (PBE) for a geometry-optimized CaAcSb2Pd5 structure.

abc: 4.743 4.743 8.891
angles: 90.00 90.00 90.00
Space group P4/mmm (No. 123)
Unique sites:
Ca (0.000, 0.000, 0.000)
Ac (0.000, 0.000, 0.500)
Sb (0.500, 0.500, 0.162)
Pd (0.000, 0.500, 0.283)
Pd (0.500, 0.500, 0.500)

Summary:
Crystal system: tetragonal
E_form (uncorrected): -0.703 eV/atom

Density functional theory data (PBE) for a geometry-optimized La2Pr5Er4 structure.

abc: 3.563 9.276 23.787
angles: 90.00 90.00 90.00
Space group Immm (No. 71)
Unique sites:
La (0.000, 0.000, 0.233)
Pr (0.000, 0.197, 0.359)
Pr (0.000, 0.500, 0.000)
Er (0.000, 0.000, 0.097)
Er (0.000, 0.318, 0.500)

Summary:
Crystal system: orthorhombic
Polymorph energy (0 for the lowest one): 19.3 meV/atom